# 1
DFT (PBE-GGA) results for a relaxed structure of Ta4VFe3.

Calculated values
Electronic total energy, eV for the cell shown: -82.87
DFT formation energy, eV per atom: -0.120
Mass density, g cm⁻³: 13.4

```
data_Ta4VFe3
_chemical_formula_sum 'Ta4 V1 Fe3'
_symmetry_space_group_name_H-M 'P m m m'
_symmetry_Int_Tables_number 47
_cell_length_a 3.073
_cell_length_b 4.350
_cell_length_c 8.767
_cell_angle_alpha 90.00
_cell_angle_beta 90.00
_cell_angle_gamma 90.00
loop_
_symmetry_equiv_pos_as_xyz
'x,y,z'
'-x,-y,-z'
'-x,-y,z'
'x,y,-z'
'x,-y,-z'
'-x,y,z'
'-x,y,-z'
'x,-y,z'
loop_
_atom_site_label
_atom_site_type_symbol
_atom_site_fract_x
_atom_site_fract_y
_atom_site_fract_z
Ta1 Ta 0.000 0.000 0.000
Ta2 Ta 0.000 0.000 0.500
Ta3 Ta 0.000 0.500 0.246
V1 V 0.500 0.500 0.500
Fe1 Fe 0.500 0.000 0.245
Fe2 Fe 0.500 0.500 0.000
```

***

# 2
DFT (PBE-GGA) results for a relaxed structure of Li2HI.

Calculated values
Electronic total energy, eV for the cell shown: -46.09
Relative energy among the computed polymorphs, eV/atom: 0.000
Mass density, g cm⁻³: 3.0

```
data_Li2HI
_chemical_formula_sum 'Li8 H4 I4'
_symmetry_space_group_name_H-M 'I -4 2 d'
_symmetry_Int_Tables_number 122
_symmetry_space_group_name_Hall 'I -4 2bw'
_cell_length_a 5.396
_cell_length_b 5.396
_cell_length_c 10.729
_cell_angle_alpha 90.00
_cell_angle_beta 90.00
_cell_angle_gamma 90.00
loop_
_atom_site_label
_atom_site_type_symbol
_atom_site_fract_x
_atom_site_fract_y
_atom_site_fract_z
Li1 Li 0.117 0.250 0.125
H1 H 0.000 0.000 0.000
I1 I 0.000 0.000 0.500
```

***

# 3
DFT (PBE-GGA) results for a relaxed structure of CsRbO2.

Calculated values
Electronic total energy, eV for the cell shown: -30.78
Formation energy from raw total energies, eV per atom: -0.913
Mass density, g cm⁻³: 3.5

```
data_CsRbO2
_chemical_formula_sum 'Cs2 Rb2 O4'
_symmetry_space_group_name_H-M 'A m m 2'
_symmetry_Int_Tables_number 38
_cell_length_a 4.551
_cell_length_b 6.762
_cell_length_c 7.635
_cell_angle_alpha 90.00
_cell_angle_beta 90.00
_cell_angle_gamma 90.00
loop_
_symmetry_equiv_pos_as_xyz
'x,y,z'
'-x,-y,z'
'-x,y,z'
'x,-y,z'
'x,y+1/2,z+1/2'
'-x,-y+1/2,z+1/2'
'-x,y+1/2,z+1/2'
'x,-y+1/2,z+1/2'
loop_
_atom_site_label
_atom_site_type_symbol
_atom_site_fract_x
_atom_site_fract_y
_atom_site_fract_z
Cs1 Cs 0.000 0.000 0.000
Rb1 Rb 0.500 0.000 0.527
O1 O 0.000 0.112 0.355
```

***

# 4
DFT (PBE-GGA) results for a relaxed structure of Sc3AsAu.

Calculated values
Electronic total energy, eV for the cell shown: -28.70
DFT formation energy, eV per atom: -0.357
Relative energy among the computed polymorphs, eV/atom: 0.000
Mass density, g cm⁻³: 5.5

```
data_Sc3AsAu
_chemical_formula_sum 'Sc3 As1 Au1'
_symmetry_space_group_name_H-M 'P m -3 m'
_symmetry_Int_Tables_number 221
_symmetry_space_group_name_Hall '-P 4 2 3'
_cell_length_a 4.971
_cell_length_b 4.971
_cell_length_c 4.971
_cell_angle_alpha 90.00
_cell_angle_beta 90.00
_cell_angle_gamma 90.00
loop_
_atom_site_label
_atom_site_type_symbol
_atom_site_fract_x
_atom_site_fract_y
_atom_site_fract_z
Sc1 Sc 0.000 0.000 0.500
As1 As 0.000 0.000 0.000
Au1 Au 0.500 0.500 0.500
```

***

# 5
DFT (PBE-GGA) results for a relaxed structure of DyLuCu.

Calculated values
Electronic total energy, eV for the cell shown: -27.31
DFT formation energy, eV per atom: -0.145
Relative energy among the computed polymorphs, eV/atom: 0.000
Mass density, g cm⁻³: 9.3

```
data_DyLuCu
_chemical_formula_sum 'Dy2 Lu2 Cu2'
_symmetry_space_group_name_H-M 'I 4 m m'
_symmetry_Int_Tables_number 107
_symmetry_space_group_name_Hall 'I 4 -2'
_cell_length_a 3.434
_cell_length_b 3.434
_cell_length_c 12.185
_cell_angle_alpha 90.00
_cell_angle_beta 90.00
_cell_angle_gamma 90.00
loop_
_atom_site_label
_atom_site_type_symbol
_atom_site_fract_x
_atom_site_fract_y
_atom_site_fract_z
Dy1 Dy 0.000 0.000 0.000
Lu1 Lu 0.000 0.000 0.278
Cu1 Cu 0.000 0.000 0.647
```

***

# 6
DFT (PBE-GGA) results for a relaxed structure of Ba2SrAlIn.

Calculated values
Electronic total energy, eV for the cell shown: -11.70
DFT formation energy, eV per atom: 0.062
Mass density, g cm⁻³: 3.6

```
data_Ba2SrAlIn
_chemical_formula_sum 'Ba2 Sr1 Al1 In1'
_symmetry_space_group_name_H-M 'P 4/m m m'
_symmetry_Int_Tables_number 123
_symmetry_space_group_name_Hall '-P 4 2'
_cell_length_a 6.535
_cell_length_b 6.535
_cell_length_c 5.399
_cell_angle_alpha 90.00
_cell_angle_beta 90.00
_cell_angle_gamma 90.00
loop_
_atom_site_label
_atom_site_type_symbol
_atom_site_fract_x
_atom_site_fract_y
_atom_site_fract_z
Ba1 Ba 0.000 0.500 0.000
Sr1 Sr 0.000 0.000 0.500
Al1 Al 0.500 0.500 0.000
In1 In 0.500 0.500 0.500
```

***

# 7
DFT (PBE-GGA) results for a relaxed structure of FeSbSe2.

Calculated values
Electronic total energy, eV for the cell shown: -69.62
Formation energy from raw total energies, eV per atom: 0.537
Mass density, g cm⁻³: 7.0

```
data_FeSbSe2
_chemical_formula_sum 'Fe4 Sb4 Se8'
_symmetry_space_group_name_H-M 'F -4 3 m'
_symmetry_Int_Tables_number 216
_symmetry_space_group_name_Hall 'F -4 2 3'
_cell_length_a 6.828
_cell_length_b 6.828
_cell_length_c 6.828
_cell_angle_alpha 90.00
_cell_angle_beta 90.00
_cell_angle_gamma 90.00
loop_
_atom_site_label
_atom_site_type_symbol
_atom_site_fract_x
_atom_site_fract_y
_atom_site_fract_z
Fe1 Fe 0.000 0.000 0.000
Sb1 Sb 0.250 0.250 0.750
Se1 Se 0.000 0.000 0.500
Se2 Se 0.250 0.250 0.250
```

***

# 8
DFT (PBE-GGA) results for a relaxed structure of Na2ErAlGe2.

Calculated values
Electronic total energy, eV for the cell shown: -45.16
DFT formation energy, eV per atom: -0.400
Mass density, g cm⁻³: 4.8

```
data_Na2ErAlGe2
_chemical_formula_sum 'Na4 Er2 Al2 Ge4'
_symmetry_space_group_name_H-M 'P m c 21'
_symmetry_Int_Tables_number 26
_cell_length_a 4.285
_cell_length_b 8.761
_cell_length_c 7.176
_cell_angle_alpha 90.00
_cell_angle_beta 90.00
_cell_angle_gamma 90.00
loop_
_symmetry_equiv_pos_as_xyz
'x,y,z'
'-x,-y,z+1/2'
'-x,y,z'
'x,-y,z+1/2'
loop_
_atom_site_label
_atom_site_type_symbol
_atom_site_fract_x
_atom_site_fract_y
_atom_site_fract_z
Na1 Na 0.000 0.082 0.000
Na2 Na 0.500 0.161 0.315
Er1 Er 0.500 0.445 0.960
Al1 Al 0.000 0.324 0.626
Ge1 Ge 0.000 0.391 0.251
Ge2 Ge 0.500 0.179 0.721
```

***

# 9
DFT (PBE-GGA) results for a relaxed structure of MnV7Cr3.

Calculated values
Electronic total energy, eV for the cell shown: -196.27
DFT formation energy, eV per atom: 0.340
Mass density, g cm⁻³: 6.4

```
data_MnV7Cr3
_chemical_formula_sum 'Mn2 V14 Cr6'
_symmetry_space_group_name_H-M 'C 1 2/m 1'
_symmetry_Int_Tables_number 12
_cell_length_a 8.516
_cell_length_b 8.468
_cell_length_c 4.434
_cell_angle_alpha 90.00
_cell_angle_beta 112.12
_cell_angle_gamma 90.00
loop_
_symmetry_equiv_pos_as_xyz
'x,y,z'
'-x,-y,-z'
'-x,y,-z'
'x,-y,z'
'x+1/2,y+1/2,z'
'-x+1/2,-y+1/2,-z'
'-x+1/2,y+1/2,-z'
'x+1/2,-y+1/2,z'
loop_
_atom_site_label
_atom_site_type_symbol
_atom_site_fract_x
_atom_site_fract_y
_atom_site_fract_z
Mn1 Mn 0.000 0.000 0.000
V1 V 0.000 0.000 0.500
V2 V 0.169 0.277 0.174
V3 V 0.190 0.500 0.679
Cr1 Cr 0.000 0.278 0.500
Cr2 Cr 0.000 0.500 0.000
```

***

# 10
DFT (PBE-GGA) results for a relaxed structure of Hf2NbTlTc.

Calculated values
Electronic total energy, eV for the cell shown: -32.96
DFT formation energy, eV per atom: 1.950
Mass density, g cm⁻³: 9.5

```
data_Hf2NbTlTc
_chemical_formula_sum 'Hf2 Nb1 Tl1 Tc1'
_symmetry_space_group_name_H-M 'P 4/m m m'
_symmetry_Int_Tables_number 123
_symmetry_space_group_name_Hall '-P 4 2'
_cell_length_a 5.181
_cell_length_b 5.181
_cell_length_c 4.880
_cell_angle_alpha 90.00
_cell_angle_beta 90.00
_cell_angle_gamma 90.00
loop_
_atom_site_label
_atom_site_type_symbol
_atom_site_fract_x
_atom_site_fract_y
_atom_site_fract_z
Hf1 Hf 0.000 0.500 0.000
Nb1 Nb 0.000 0.000 0.500
Tl1 Tl 0.500 0.500 0.000
Tc1 Tc 0.500 0.500 0.500
```

***

# 11
DFT (PBE-GGA) results for a relaxed structure of NaSr2Tl2.

Calculated values
Electronic total energy, eV for the cell shown: -21.83
DFT formation energy, eV per atom: -0.299
Relative energy among the computed polymorphs, eV/atom: 0.000
Mass density, g cm⁻³: 5.5

```
data_NaSr2Tl2
_chemical_formula_sum 'Na2 Sr4 Tl4'
_symmetry_space_group_name_H-M 'P 4/m b m'
_symmetry_Int_Tables_number 127
_symmetry_space_group_name_Hall '-P 4 2ab'
_cell_length_a 9.092
_cell_length_b 9.092
_cell_length_c 4.430
_cell_angle_alpha 90.00
_cell_angle_beta 90.00
_cell_angle_gamma 90.00
loop_
_atom_site_label
_atom_site_type_symbol
_atom_site_fract_x
_atom_site_fract_y
_atom_site_fract_z
Na1 Na 0.000 0.000 0.000
Sr1 Sr 0.164 0.336 0.500
Tl1 Tl 0.133 0.633 0.000
```

***

# 12
DFT (PBE-GGA) results for a relaxed structure of CsTlTe2.

Calculated values
Electronic total energy, eV for the cell shown: -10.91
Formation energy from raw total energies, eV per atom: -0.352
Mass density, g cm⁻³: 6.6

```
data_CsTlTe2
_chemical_formula_sum 'Cs1 Tl1 Te2'
_symmetry_space_group_name_H-M 'P 4/m m m'
_symmetry_Int_Tables_number 123
_symmetry_space_group_name_Hall '-P 4 2'
_cell_length_a 3.733
_cell_length_b 3.733
_cell_length_c 10.649
_cell_angle_alpha 90.00
_cell_angle_beta 90.00
_cell_angle_gamma 90.00
loop_
_atom_site_label
_atom_site_type_symbol
_atom_site_fract_x
_atom_site_fract_y
_atom_site_fract_z
Cs1 Cs 0.000 0.000 0.000
Tl1 Tl 0.000 0.000 0.500
Te1 Te 0.500 0.500 0.268
```

***

# 13
DFT (PBE-GGA) results for a relaxed structure of KBaCu.

Calculated values
Electronic total energy, eV for the cell shown: -28.50
DFT formation energy, eV per atom: -0.003
Relative energy among the computed polymorphs, eV/atom: 0.035
Mass density, g cm⁻³: 2.8

```
data_KBaCu
_chemical_formula_sum 'K4 Ba4 Cu4'
_symmetry_space_group_name_H-M 'C m c m'
_symmetry_Int_Tables_number 63
_symmetry_space_group_name_Hall '-C 2c 2'
_cell_length_a 4.484
_cell_length_b 27.727
_cell_length_c 4.508
_cell_angle_alpha 90.00
_cell_angle_beta 90.00
_cell_angle_gamma 90.00
loop_
_atom_site_label
_atom_site_type_symbol
_atom_site_fract_x
_atom_site_fract_y
_atom_site_fract_z
K1 K 0.000 0.189 0.250
Ba1 Ba 0.000 0.434 0.250
Cu1 Cu 0.000 0.020 0.250
```